(1)
Density functional theory data (PBE) for a relaxed Mg3AlH crystal. Values from VASP.

The structure in Quantum ESPRESSO input format:
```
&SYSTEM
  ibrav = 0, nat = 5, ntyp = 3
/
ATOMIC_SPECIES
Mg 24.30 Mg.upf
Al 26.98 Al.upf
H 1.01 H.upf
CELL_PARAMETERS angstrom
4.3864 0.0000 0.0000
0.0000 4.3864 0.0000
0.0000 0.0000 4.3864
ATOMIC_POSITIONS crystal
Mg 0.0000 0.0000 0.5000
Mg 0.0000 0.5000 0.0000
Mg 0.5000 0.0000 0.0000
Al 0.5000 0.5000 0.5000
H 0.0000 0.0000 0.0000
```

=====

(2)
Density functional theory data (PBE) for a relaxed Mg3AlH crystal. Values from VASP.

The structure in Quantum ESPRESSO input format:
```
&SYSTEM
  ibrav = 0, nat = 5, ntyp = 3
/
ATOMIC_SPECIES
Mg 24.30 Mg.upf
Al 26.98 Al.upf
H 1.01 H.upf
CELL_PARAMETERS angstrom
5.2198 0.0000 0.0000
0.0000 5.2198 0.0000
0.0000 0.0000 5.2198
ATOMIC_POSITIONS crystal
Mg 0.0000 0.0000 0.5000
Mg 0.0000 0.5000 0.0000
Mg 0.5000 0.0000 0.0000
Al 0.0000 0.0000 0.0000
H 0.5000 0.5000 0.5000
```

=====

Tell me which of them is the most stable. Sure, it is (1).

=====

(1)
Density functional theory data (PBE) for a relaxed MgAlH5 crystal. Values from VASP.

The structure in Quantum ESPRESSO input format:
```
&SYSTEM
  ibrav = 0, nat = 14, ntyp = 3
/
ATOMIC_SPECIES
Mg 24.30 Mg.upf
Al 26.98 Al.upf
H 1.01 H.upf
CELL_PARAMETERS angstrom
3.7392 -3.3872 0.0000
3.7392 3.3872 0.0000
-3.2992 0.0000 6.1977
ATOMIC_POSITIONS crystal
Mg 0.9998 0.0002 0.0000
Mg 0.0002 0.9998 0.5000
Al 0.4224 0.5768 0.7502
Al 0.5768 0.4224 0.2502
H 0.0723 0.9271 0.2498
H 0.2422 0.3481 0.1590
H 0.2662 0.6932 0.5489
H 0.3047 0.7310 0.9510
H 0.3481 0.2422 0.6590
H 0.6518 0.7564 0.3413
H 0.6932 0.2662 0.0489
H 0.7310 0.3047 0.4510
H 0.7564 0.6518 0.8413
H 0.9271 0.0723 0.7498
```

=====

(2)
Density functional theory data (PBE) for a relaxed MgAlH5 crystal. Values from VASP.

The structure in Quantum ESPRESSO input format:
```
&SYSTEM
  ibrav = 0, nat = 14, ntyp = 3
/
ATOMIC_SPECIES
Mg 24.30 Mg.upf
Al 26.98 Al.upf
H 1.01 H.upf
CELL_PARAMETERS angstrom
4.5021 0.0000 0.0000
0.0000 4.2326 0.0000
-2.2501 0.0000 6.4659
ATOMIC_POSITIONS crystal
Mg 0.1797 0.0000 0.3587
Mg 0.8203 0.5000 0.6413
Al 0.4083 0.0000 0.8170
Al 0.5917 0.5000 0.1830
H 0.0999 0.2221 0.8161
H 0.1512 0.7758 0.6087
H 0.2839 0.2783 0.1838
H 0.3353 0.7500 0.0001
H 0.4573 0.2242 0.6087
H 0.5427 0.7242 0.3913
H 0.6647 0.2500 0.9999
H 0.7161 0.7783 0.8162
H 0.8488 0.2758 0.3913
H 0.9001 0.7221 0.1839
```

=====

Tell me which of them is the most stable. Sure, it is (2).

=====

(1)
Density functional theory data (PBE) for a relaxed MgAlV2H crystal. Values from VASP.

The structure in Quantum ESPRESSO input format:
```
&SYSTEM
  ibrav = 0, nat = 5, ntyp = 4
/
ATOMIC_SPECIES
Mg 24.30 Mg.upf
Al 26.98 Al.upf
V 50.94 V.upf
H 1.01 H.upf
CELL_PARAMETERS angstrom
5.0415 0.0000 0.0000
0.0000 5.0415 0.0000
0.0000 0.0000 4.8834
ATOMIC_POSITIONS crystal
Mg 0.0000 0.0000 0.0000
Al 0.0000 0.0000 0.5000
V 0.0000 0.5000 0.0000
V 0.5000 0.0000 0.0000
H 0.5000 0.5000 0.5000
```

=====

(2)
Density functional theory data (PBE) for a relaxed MgAlV2H crystal. Values from VASP.

The structure in Quantum ESPRESSO input format:
```
&SYSTEM
  ibrav = 0, nat = 5, ntyp = 4
/
ATOMIC_SPECIES
Mg 24.30 Mg.upf
Al 26.98 Al.upf
V 50.94 V.upf
H 1.01 H.upf
CELL_PARAMETERS angstrom
3.8260 0.0000 0.0000
0.0000 3.8260 0.0000
0.0000 0.0000 4.2831
ATOMIC_POSITIONS crystal
Mg 0.0000 0.0000 0.0000
Al 0.5000 0.5000 0.0000
V 0.0000 0.5000 0.5000
V 0.5000 0.0000 0.5000
H 0.0000 0.0000 0.5000
```

=====

Tell me which of them is the most stable. Sure, it is (2).

=====

(1)
Density functional theory data (PBE) for a relaxed Mg2AlZnH crystal. Values from VASP.

The structure in Quantum ESPRESSO input format:
```
&SYSTEM
  ibrav = 0, nat = 5, ntyp = 4
/
ATOMIC_SPECIES
Mg 24.30 Mg.upf
Al 26.98 Al.upf
Zn 65.41 Zn.upf
H 1.01 H.upf
CELL_PARAMETERS angstrom
4.3197 0.0000 0.0000
0.0000 4.3197 0.0000
0.0000 0.0000 4.1357
ATOMIC_POSITIONS crystal
Mg 0.0000 0.5000 0.0000
Mg 0.5000 0.0000 0.0000
Al 0.0000 0.0000 0.5000
Zn 0.5000 0.5000 0.5000
H 0.5000 0.5000 0.0000
```

=====

(2)
Density functional theory data (PBE) for a relaxed Mg2AlZnH crystal. Values from VASP.

The structure in Quantum ESPRESSO input format:
```
&SYSTEM
  ibrav = 0, nat = 5, ntyp = 4
/
ATOMIC_SPECIES
Mg 24.30 Mg.upf
Al 26.98 Al.upf
Zn 65.41 Zn.upf
H 1.01 H.upf
CELL_PARAMETERS angstrom
4.2875 0.0000 0.0000
0.0000 4.2875 0.0000
0.0000 0.0000 4.1405
ATOMIC_POSITIONS crystal
Mg 0.0000 0.5000 0.0000
Mg 0.5000 0.0000 0.0000
Al 0.0000 0.0000 0.5000
Zn 0.5000 0.5000 0.5000
H 0.0000 0.0000 0.0000
```

=====

Tell me which of them is the most stable. Sure, it is (2).

=====

(1)
Density functional theory data (PBE) for a relaxed MnAlH3 crystal. Values from VASP.

The structure in Quantum ESPRESSO input format:
```
&SYSTEM
  ibrav = 0, nat = 10, ntyp = 3
/
ATOMIC_SPECIES
Mn 54.94 Mn.upf
Al 26.98 Al.upf
H 1.01 H.upf
CELL_PARAMETERS angstrom
2.1817 1.2596 4.2950
-2.1817 1.2596 4.2950
0.0000 -2.5192 4.2950
ATOMIC_POSITIONS crystal
Mn 0.0000 0.0000 0.0000
Mn 0.1968 0.1968 0.1968
Al 0.5914 0.5914 0.5914
Al 0.7982 0.7982 0.7982
H 0.1779 0.1779 0.5534
H 0.1779 0.5534 0.1779
H 0.2730 0.2730 0.7877
H 0.2730 0.7877 0.2730
H 0.5534 0.1779 0.1779
H 0.7877 0.2730 0.2730
```

=====

(2)
Density functional theory data (PBE) for a relaxed MnAlH3 crystal. Values from VASP.

The structure in Quantum ESPRESSO input format:
```
&SYSTEM
  ibrav = 0, nat = 5, ntyp = 3
/
ATOMIC_SPECIES
Mn 54.94 Mn.upf
Al 26.98 Al.upf
H 1.01 H.upf
CELL_PARAMETERS angstrom
3.3212 0.0000 0.0000
0.0000 3.3212 0.0000
0.0000 0.0000 3.3212
ATOMIC_POSITIONS crystal
Mn 0.0000 0.0000 0.0000
Al 0.5000 0.5000 0.5000
H 0.0000 0.5000 0.5000
H 0.5000 0.0000 0.5000
H 0.5000 0.5000 0.0000
```

=====

(3)
Density functional theory data (PBE) for a relaxed MnAlH3 crystal. Values from VASP.

The structure in Quantum ESPRESSO input format:
```
&SYSTEM
  ibrav = 0, nat = 5, ntyp = 3
/
ATOMIC_SPECIES
Mn 54.94 Mn.upf
Al 26.98 Al.upf
H 1.01 H.upf
CELL_PARAMETERS angstrom
3.2500 0.0000 0.0000
0.0000 3.2500 0.0000
0.0000 0.0000 3.2500
ATOMIC_POSITIONS crystal
Mn 0.0000 0.0000 0.0000
Al 0.5000 0.5000 0.5000
H 0.0000 0.0000 0.5000
H 0.0000 0.5000 0.0000
H 0.5000 0.0000 0.0000
```

=====

Tell me which of them is the most stable. Sure, it is (1).

=====

(1)
Density functional theory data (PBE) for a relaxed MnAl2H crystal. Values from VASP.

The structure in Quantum ESPRESSO input format:
```
&SYSTEM
  ibrav = 0, nat = 4, ntyp = 3
/
ATOMIC_SPECIES
Mn 54.94 Mn.upf
Al 26.98 Al.upf
H 1.01 H.upf
CELL_PARAMETERS angstrom
0.0000 2.9589 2.9589
2.9589 0.0000 2.9589
2.9589 2.9589 0.0000
ATOMIC_POSITIONS crystal
Mn 0.0000 0.0000 0.0000
Al 0.2500 0.2500 0.2500
Al 0.7500 0.7500 0.7500
H 0.5000 0.5000 0.5000
```

=====

(2)
Density functional theory data (PBE) for a relaxed MnAl2H crystal. Values from VASP.

The structure in Quantum ESPRESSO input format:
```
&SYSTEM
  ibrav = 0, nat = 4, ntyp = 3
/
ATOMIC_SPECIES
Mn 54.94 Mn.upf
Al 26.98 Al.upf
H 1.01 H.upf
CELL_PARAMETERS angstrom
1.4387 0.8306 7.3089
-1.4387 0.8306 7.3089
0.0000 -1.6613 7.3089
ATOMIC_POSITIONS crystal
Mn 0.0000 0.0000 0.0000
Al 0.4200 0.4200 0.4200
Al 0.5800 0.5800 0.5800
H 0.5000 0.5000 0.5000
```

=====

(3)
Density functional theory data (PBE) for a relaxed MnAl2H crystal. Values from VASP.

The structure in Quantum ESPRESSO input format:
```
&SYSTEM
  ibrav = 0, nat = 8, ntyp = 3
/
ATOMIC_SPECIES
Mn 54.94 Mn.upf
Al 26.98 Al.upf
H 1.01 H.upf
CELL_PARAMETERS angstrom
-3.0375 3.0375 2.3529
3.0375 -3.0375 2.3529
3.0375 3.0375 -2.3529
ATOMIC_POSITIONS crystal
Mn 0.0000 0.0000 0.0000
Mn 0.7500 0.2500 0.5000
Al 0.2063 0.6250 0.0813
Al 0.3750 0.4563 0.5813
Al 0.5437 0.1250 0.9187
Al 0.8750 0.7937 0.4187
H 0.2500 0.7500 0.5000
H 0.5000 0.5000 0.0000
```

=====

Tell me which of them is the most stable. Sure, it is (2).

=====

(1)
Density functional theory data (PBE) for a relaxed Mn2AlH crystal. Values from VASP.

The structure in Quantum ESPRESSO input format:
```
&SYSTEM
  ibrav = 0, nat = 4, ntyp = 3
/
ATOMIC_SPECIES
Mn 54.94 Mn.upf
Al 26.98 Al.upf
H 1.01 H.upf
CELL_PARAMETERS angstrom
0.0000 2.8537 2.8537
2.8537 0.0000 2.8537
2.8537 2.8537 0.0000
ATOMIC_POSITIONS crystal
Mn 0.2500 0.2500 0.2500
Mn 0.7500 0.7500 0.7500
Al 0.0000 0.0000 0.0000
H 0.5000 0.5000 0.5000
```

=====

(2)
Density functional theory data (PBE) for a relaxed Mn2AlH crystal. Values from VASP.

The structure in Quantum ESPRESSO input format:
```
&SYSTEM
  ibrav = 0, nat = 8, ntyp = 3
/
ATOMIC_SPECIES
Mn 54.94 Mn.upf
Al 26.98 Al.upf
H 1.01 H.upf
CELL_PARAMETERS angstrom
-2.5379 2.5379 3.5766
2.5379 -2.5379 3.5766
2.5379 2.5379 -3.5766
ATOMIC_POSITIONS crystal
Mn 0.0000 0.0000 0.0000
Mn 0.0000 0.0000 0.5000
Mn 0.0000 0.5000 0.0000
Mn 0.5000 0.0000 0.5000
Al 0.3750 0.6250 0.7500
Al 0.6250 0.3750 0.2500
H 0.1250 0.8750 0.2500
H 0.8750 0.1250 0.7500
```

=====

Tell me which of them is the most stable. Sure, it is (2).

=====

(1)
Density functional theory data (PBE) for a relaxed Mn2AlH crystal. Values from VASP.

The structure in Quantum ESPRESSO input format:
```
&SYSTEM
  ibrav = 0, nat = 4, ntyp = 3
/
ATOMIC_SPECIES
Mn 54.94 Mn.upf
Al 26.98 Al.upf
H 1.01 H.upf
CELL_PARAMETERS angstrom
1.3335 0.7699 6.1682
-1.3335 0.7699 6.1682
0.0000 -1.5398 6.1682
ATOMIC_POSITIONS crystal
Mn 0.2197 0.2197 0.2197
Mn 0.7803 0.7803 0.7803
Al 0.0000 0.0000 0.0000
H 0.5000 0.5000 0.5000
```

=====

(2)
Density functional theory data (PBE) for a relaxed Mn2AlH crystal. Values from VASP.

The structure in Quantum ESPRESSO input format:
```
&SYSTEM
  ibrav = 0, nat = 4, ntyp = 3
/
ATOMIC_SPECIES
Mn 54.94 Mn.upf
Al 26.98 Al.upf
H 1.01 H.upf
CELL_PARAMETERS angstrom
2.6115 0.0000 0.0000
0.0000 2.6115 0.0000
0.0000 0.0000 5.8444
ATOMIC_POSITIONS crystal
Mn 0.0000 0.0000 0.1789
Mn 0.0000 0.0000 0.8211
Al 0.5000 0.5000 0.5000
H 0.5000 0.5000 0.0000
```

=====

Tell me which of them is the most stable. Sure, it is (1).

=====

(1)
Density functional theory data (PBE) for a relaxed Mn2AlHPd crystal. Values from VASP.

The structure in Quantum ESPRESSO input format:
```
&SYSTEM
  ibrav = 0, nat = 5, ntyp = 4
/
ATOMIC_SPECIES
Mn 54.94 Mn.upf
Al 26.98 Al.upf
H 1.01 H.upf
Pd 106.42 Pd.upf
CELL_PARAMETERS angstrom
3.7074 0.0000 0.0000
0.0000 3.7074 0.0000
0.0000 0.0000 4.1529
ATOMIC_POSITIONS crystal
Mn 0.0000 0.5000 0.0000
Mn 0.5000 0.0000 0.0000
Al 0.0000 0.0000 0.5000
H 0.0000 0.0000 0.0000
Pd 0.5000 0.5000 0.5000
```

=====

(2)
Density functional theory data (PBE) for a relaxed Mn2AlHPd crystal. Values from VASP.

The structure in Quantum ESPRESSO input format:
```
&SYSTEM
  ibrav = 0, nat = 5, ntyp = 4
/
ATOMIC_SPECIES
Mn 54.94 Mn.upf
Al 26.98 Al.upf
H 1.01 H.upf
Pd 106.42 Pd.upf
CELL_PARAMETERS angstrom
3.7828 0.0000 0.0000
0.0000 3.7828 0.0000
0.0000 0.0000 4.0174
ATOMIC_POSITIONS crystal
Mn 0.0000 0.5000 0.0000
Mn 0.5000 0.0000 0.0000
Al 0.0000 0.0000 0.5000
H 0.5000 0.5000 0.0000
Pd 0.5000 0.5000 0.5000
```

=====

Tell me which of them is the most stable. Sure, it is (2).

=====

(1)
Density functional theory data (PBE) for a relaxed Mn2AlHRu crystal. Values from VASP.

The structure in Quantum ESPRESSO input format:
```
&SYSTEM
  ibrav = 0, nat = 5, ntyp = 4
/
ATOMIC_SPECIES
Mn 54.94 Mn.upf
Al 26.98 Al.upf
H 1.01 H.upf
Ru 101.07 Ru.upf
CELL_PARAMETERS angstrom
3.6344 0.0000 0.0000
0.0000 3.6344 0.0000
0.0000 0.0000 4.1086
ATOMIC_POSITIONS crystal
Mn 0.0000 0.5000 0.0000
Mn 0.5000 0.0000 0.0000
Al 0.0000 0.0000 0.5000
H 0.0000 0.0000 0.0000
Ru 0.5000 0.5000 0.5000
```

=====

(2)
Density functional theory data (PBE) for a relaxed Mn2AlHRu crystal. Values from VASP.

The structure in Quantum ESPRESSO input format:
```
&SYSTEM
  ibrav = 0, nat = 5, ntyp = 4
/
ATOMIC_SPECIES
Mn 54.94 Mn.upf
Al 26.98 Al.upf
H 1.01 H.upf
Ru 101.07 Ru.upf
CELL_PARAMETERS angstrom
3.7388 0.0000 0.0000
0.0000 3.7388 0.0000
0.0000 0.0000 3.9231
ATOMIC_POSITIONS crystal
Mn 0.0000 0.5000 0.0000
Mn 0.5000 0.0000 0.0000
Al 0.0000 0.0000 0.5000
H 0.5000 0.5000 0.0000
Ru 0.5000 0.5000 0.5000
```

=====

Tell me which of them is the most stable. Sure, it is (2).

=====

(1)
Density functional theory data (PBE) for a relaxed MnAl2TcH crystal. Values from VASP.

The structure in Quantum ESPRESSO input format:
```
&SYSTEM
  ibrav = 0, nat = 5, ntyp = 4
/
ATOMIC_SPECIES
Mn 54.94 Mn.upf
Al 26.98 Al.upf
Tc 98.00 Tc.upf
H 1.01 H.upf
CELL_PARAMETERS angstrom
4.1626 0.0000 0.0000
0.0000 4.1626 0.0000
0.0000 0.0000 3.3172
ATOMIC_POSITIONS crystal
Mn 0.0000 0.0000 0.0000
Al 0.0000 0.5000 0.5000
Al 0.5000 0.0000 0.5000
Tc 0.5000 0.5000 0.0000
H 0.0000 0.0000 0.5000
```

=====

(2)
Density functional theory data (PBE) for a relaxed MnAl2TcH crystal. Values from VASP.

The structure in Quantum ESPRESSO input format:
```
&SYSTEM
  ibrav = 0, nat = 5, ntyp = 4
/
ATOMIC_SPECIES
Mn 54.94 Mn.upf
Al 26.98 Al.upf
Tc 98.00 Tc.upf
H 1.01 H.upf
CELL_PARAMETERS angstrom
4.1567 0.0000 0.0000
0.0000 4.1567 0.0000
0.0000 0.0000 3.4359
ATOMIC_POSITIONS crystal
Mn 0.0000 0.0000 0.0000
Al 0.0000 0.5000 0.5000
Al 0.5000 0.0000 0.5000
Tc 0.5000 0.5000 0.0000
H 0.5000 0.5000 0.5000
```

=====

Tell me which of them is the most stable. Sure, it is (1).

=====

(1)
Density functional theory data (PBE) for a relaxed Al2MoH6 crystal. Values from VASP.

The structure in Quantum ESPRESSO input format:
```
&SYSTEM
  ibrav = 0, nat = 18, ntyp = 3
/
ATOMIC_SPECIES
Al 26.98 Al.upf
Mo 95.94 Mo.upf
H 1.01 H.upf
CELL_PARAMETERS angstrom
4.5721 0.0000 0.0000
0.0000 4.6602 0.0000
-4.5192 0.0000 6.4377
ATOMIC_POSITIONS crystal
Al 0.2491 0.0183 0.2508
Al 0.2491 0.4817 0.7508
Al 0.7509 0.5183 0.2492
Al 0.7509 0.9817 0.7492
Mo 0.5000 0.0000 0.0000
Mo 0.5000 0.5000 0.5000
H 0.1445 0.0282 0.7315
H 0.1445 0.4718 0.2315
H 0.2182 0.7079 0.5402
H 0.2182 0.7921 0.0402
H 0.3357 0.1762 0.5364
H 0.3357 0.3238 0.0364
H 0.6643 0.6762 0.9636
H 0.6643 0.8238 0.4636
H 0.7818 0.2079 0.9598
H 0.7818 0.2921 0.4598
H 0.8555 0.5282 0.7685
H 0.8555 0.9718 0.2685
```

=====

(2)
Density functional theory data (PBE) for a relaxed Al2MoH6 crystal. Values from VASP.

The structure in Quantum ESPRESSO input format:
```
&SYSTEM
  ibrav = 0, nat = 9, ntyp = 3
/
ATOMIC_SPECIES
Al 26.98 Al.upf
Mo 95.94 Mo.upf
H 1.01 H.upf
CELL_PARAMETERS angstrom
0.0000 3.2283 3.2283
3.2283 0.0000 3.2283
3.2283 3.2283 0.0000
ATOMIC_POSITIONS crystal
Al 0.2500 0.2500 0.2500
Al 0.7500 0.7500 0.7500
Mo 0.0000 0.0000 0.0000
H 0.2726 0.2726 0.7274
H 0.2726 0.7274 0.2726
H 0.2726 0.7274 0.7274
H 0.7274 0.2726 0.2726
H 0.7274 0.2726 0.7274
H 0.7274 0.7274 0.2726
```

=====

Tell me which of them is the most stable. Sure, it is (1).